[1]
BeBiCI2: optimized geometry, GGA-PBE.

Cell and atoms, written as POSCAR:
```
BeBiCI2
1.0
-1.526 4.892 0.151
-4.205 -1.244 -2.187
-2.145 -0.811 4.585
Bi I C Be
1 2 1 1
direct
0.000 0.500 0.000
0.500 0.000 0.000
0.000 0.000 0.500
0.000 0.000 0.000
0.500 0.500 0.500
```

The uncorrected formation energy comes out at 1500 meV/atom.

[2]
BeBi2IrC: optimized geometry, GGA-PBE.

Cell and atoms, written as POSCAR:
```
BeBi2IrC
1.0
-4.538 -1.594 1.916
0.750 -3.092 -0.797
2.194 -0.664 4.643
Be Bi Ir C
1 2 1 1
direct
0.000 0.500 0.000
0.500 0.000 0.000
0.000 0.000 0.500
0.500 0.500 0.500
0.000 0.000 0.000
```

The formation energy is 628 meV per atom.

[3]
BeBiPtC2: optimized geometry, GGA-PBE.

Cell and atoms, written as POSCAR:
```
BeBiPtC2
1.0
4.456 0.000 0.000
0.000 4.668 0.000
0.000 0.000 4.456
C Be Pt Bi
2 1 1 1
direct
0.500 0.000 0.000
0.000 0.000 0.500
0.000 0.500 0.000
0.500 0.500 0.500
0.000 0.000 0.000
```

The formation energy is 2979 meV per atom.

[4]
RbBeBi2C: optimized geometry, GGA-PBE.

Cell and atoms, written as POSCAR:
```
RbBeBi2C
1.0
-2.540 -5.557 0.821
3.607 -1.873 -1.516
2.296 -0.205 5.718
Rb Be Bi C
1 1 2 1
direct
0.000 0.000 0.000
0.500 0.500 0.500
0.500 0.000 0.000
0.000 0.000 0.500
0.000 0.500 0.000
```

The formation energy is 2696 meV per atom.

[5]
RbBeBiC2: optimized geometry, GGA-PBE.

Cell and atoms, written as POSCAR:
```
RbBeBiC2
1.0
4.721 0.000 0.000
0.000 7.115 0.000
0.000 0.000 4.721
Bi Be Rb C
1 1 1 2
direct
0.000 0.000 0.000
0.500 0.500 0.500
0.000 0.500 0.000
0.000 0.000 0.500
0.500 0.000 0.000
```

The formation energy is 2688 meV per atom.

[6]
TiBe2BiC: optimized geometry, GGA-PBE.

Cell and atoms, written as POSCAR:
```
TiBe2BiC
1.0
4.370 0.000 0.000
0.000 5.475 0.000
0.000 0.000 4.370
C Bi Be Ti
1 1 2 1
direct
0.500 0.500 0.500
0.000 0.000 0.000
0.000 0.000 0.500
0.500 0.000 0.000
0.000 0.500 0.000
```

The formation energy is 2399 meV per atom.

[7]
Y2BeBiC: optimized geometry, GGA-PBE.

Cell and atoms, written as POSCAR:
```
Y2BeBiC
1.0
-2.307 -1.506 4.400
4.618 -1.322 1.968
0.388 3.382 1.361
Be Bi Y C
1 1 2 1
direct
0.000 0.000 0.500
0.500 0.500 0.500
0.500 0.000 0.000
0.000 0.500 0.000
0.000 0.000 0.000
```

The formation energy is -368 meV per atom.

[8]
BeZnBiC2: optimized geometry, GGA-PBE.

Cell and atoms, written as POSCAR:
```
BeZnBiC2
1.0
4.509 0.000 0.000
0.000 5.666 0.000
0.000 0.000 4.509
Be Bi C Zn
1 1 2 1
direct
0.500 0.500 0.500
0.000 0.000 0.000
0.000 0.000 0.500
0.500 0.000 0.000
0.000 0.500 0.000
```

The formation energy is 2875 meV per atom.

Short version: electronic total energy = -0.091, -0.194, -0.126, -0.060, -0.100, -0.121, -0.232, -0.095 Ha/atom, in the order given.
Short version: theoretical density = 6.24, 11.92, 7.83, 5.28, 3.43, 4.56, 6.85, 4.43 g/cm³, in the order given.